[1]
Here is an optimized crystal structure of PrZn2Pt8 from Alexandria via LeMat-Bulk. Energies are from PBE. Values from VASP.

Summary:
Raw total energy in eV/cell: -57.02
E_form in kJ per mole of atoms: -12.0

Geometry as Quantum ESPRESSO input:
```
&SYSTEM
  ibrav = 0, nat = 11, ntyp = 3
/
ATOMIC_SPECIES
Pr 140.91 Pr.upf
Zn 65.41 Zn.upf
Pt 195.08 Pt.upf
CELL_PARAMETERS angstrom
5.2814 0.0000 0.0000
0.0000 5.2814 0.0000
0.0000 0.0000 8.4802
ATOMIC_POSITIONS crystal
Pr 0.0000 0.0000 0.0000
Zn 0.0000 0.5000 0.5000
Zn 0.5000 0.0000 0.5000
Pt 0.2529 0.2529 0.2773
Pt 0.2529 0.2529 0.7227
Pt 0.2529 0.7471 0.2773
Pt 0.2529 0.7471 0.7227
Pt 0.7471 0.2529 0.2773
Pt 0.7471 0.2529 0.7227
Pt 0.7471 0.7471 0.2773
Pt 0.7471 0.7471 0.7227
```


[2]
Here is an optimized crystal structure of Pr6Zn2Pt from Alexandria via LeMat-Bulk. Energies are from PBE. Values from VASP.

Summary:
Raw total energy in eV/cell: -79.51
E_form in kJ per mole of atoms: -26.7

Geometry as Quantum ESPRESSO input:
```
&SYSTEM
  ibrav = 0, nat = 18, ntyp = 3
/
ATOMIC_SPECIES
Pr 140.91 Pr.upf
Zn 65.41 Zn.upf
Pt 195.08 Pt.upf
CELL_PARAMETERS angstrom
6.3434 0.0000 0.0000
0.0000 8.2717 0.0000
-6.1546 0.0000 10.4196
ATOMIC_POSITIONS crystal
Pr 0.0884 0.1592 0.4446
Pr 0.0884 0.3408 0.9446
Pr 0.3174 0.6915 0.4426
Pr 0.3174 0.8085 0.9426
Pr 0.3907 0.0390 0.2591
Pr 0.3907 0.4610 0.7591
Pr 0.6093 0.5390 0.2409
Pr 0.6093 0.9610 0.7409
Pr 0.6826 0.1915 0.0574
Pr 0.6826 0.3085 0.5574
Pr 0.9116 0.6592 0.0554
Pr 0.9116 0.8408 0.5554
Zn 0.1754 0.1171 0.7606
Zn 0.1754 0.3829 0.2606
Zn 0.8246 0.6171 0.7394
Zn 0.8246 0.8829 0.2394
Pt 0.0000 0.0000 0.0000
Pt 0.0000 0.5000 0.5000
```


[3]
Here is an optimized crystal structure of PrZn12Pt4 from Alexandria via LeMat-Bulk. Energies are from PBE. Values from VASP.

Summary:
Raw total energy in eV/cell: -46.44
E_form in kJ per mole of atoms: -12.5

Geometry as Quantum ESPRESSO input:
```
&SYSTEM
  ibrav = 0, nat = 17, ntyp = 3
/
ATOMIC_SPECIES
Pr 140.91 Pr.upf
Zn 65.41 Zn.upf
Pt 195.08 Pt.upf
CELL_PARAMETERS angstrom
-4.3717 4.3717 4.3717
4.3717 -4.3717 4.3717
4.3717 4.3717 -4.3717
ATOMIC_POSITIONS crystal
Pr 0.0000 0.0000 0.0000
Zn 0.1531 0.5053 0.3522
Zn 0.1531 0.8008 0.6478
Zn 0.1992 0.3522 0.8469
Zn 0.3522 0.1531 0.5053
Zn 0.3522 0.8469 0.1992
Zn 0.4947 0.6478 0.8469
Zn 0.5053 0.3522 0.1531
Zn 0.6478 0.1531 0.8008
Zn 0.6478 0.8469 0.4947
Zn 0.8008 0.6478 0.1531
Zn 0.8469 0.1992 0.3522
Zn 0.8469 0.4947 0.6478
Pt 0.0000 0.0000 0.5000
Pt 0.0000 0.5000 0.0000
Pt 0.5000 0.0000 0.0000
Pt 0.5000 0.5000 0.5000
```


[4]
Here is an optimized crystal structure of Pr4ZnPt3 from Alexandria via LeMat-Bulk. Energies are from PBE. Values from VASP.

Summary:
Raw total energy in eV/cell: -45.85
E_form in kJ per mole of atoms: -88.5

Geometry as Quantum ESPRESSO input:
```
&SYSTEM
  ibrav = 0, nat = 8, ntyp = 3
/
ATOMIC_SPECIES
Pr 140.91 Pr.upf
Zn 65.41 Zn.upf
Pt 195.08 Pt.upf
CELL_PARAMETERS angstrom
3.9820 0.0000 0.0000
0.0000 4.5783 0.0000
0.0000 0.0000 11.1134
ATOMIC_POSITIONS crystal
Pr 0.0000 0.0000 0.0000
Pr 0.0000 0.5000 0.2670
Pr 0.5000 0.0000 0.4857
Pr 0.5000 0.5000 0.7705
Zn 0.0000 0.0000 0.7030
Pt 0.0000 0.5000 0.5577
Pt 0.5000 0.0000 0.2192
Pt 0.5000 0.5000 0.0436
```


[5]
Here is an optimized crystal structure of PrZn4Pt2 from Alexandria via LeMat-Bulk. Energies are from PBE. Values from VASP.

Summary:
Raw total energy in eV/cell: -53.03
E_form in kJ per mole of atoms: -62.8

Geometry as Quantum ESPRESSO input:
```
&SYSTEM
  ibrav = 0, nat = 14, ntyp = 3
/
ATOMIC_SPECIES
Pr 140.91 Pr.upf
Zn 65.41 Zn.upf
Pt 195.08 Pt.upf
CELL_PARAMETERS angstrom
7.6743 0.0000 0.0000
0.0000 7.6743 0.0000
0.0000 0.0000 4.2602
ATOMIC_POSITIONS crystal
Pr 0.0000 0.0000 0.0000
Pr 0.5000 0.5000 0.5000
Zn 0.0942 0.3499 0.5000
Zn 0.1501 0.5942 0.0000
Zn 0.3499 0.0942 0.5000
Zn 0.4058 0.8499 0.0000
Zn 0.5942 0.1501 0.0000
Zn 0.6501 0.9058 0.5000
Zn 0.8499 0.4058 0.0000
Zn 0.9058 0.6501 0.5000
Pt 0.2174 0.7826 0.5000
Pt 0.2826 0.2826 0.0000
Pt 0.7174 0.7174 0.0000
Pt 0.7826 0.2174 0.5000
```


[6]
Here is an optimized crystal structure of Pr3Zn4Pt4 from Alexandria via LeMat-Bulk. Energies are from PBE. Values from VASP.

Summary:
Raw total energy in eV/cell: -52.91
E_form in kJ per mole of atoms: -81.7
Distance to the lowest polymorph of the same formula in meV/atom: 0

Geometry as Quantum ESPRESSO input:
```
&SYSTEM
  ibrav = 0, nat = 11, ntyp = 3
/
ATOMIC_SPECIES
Pr 140.91 Pr.upf
Zn 65.41 Zn.upf
Pt 195.08 Pt.upf
CELL_PARAMETERS angstrom
-2.0785 3.7390 7.2489
2.0785 -3.7390 7.2489
2.0785 3.7390 -7.2489
ATOMIC_POSITIONS crystal
Pr 0.0000 0.0000 0.0000
Pr 0.3728 0.8728 0.5000
Pr 0.6272 0.1272 0.5000
Zn 0.0211 0.3271 0.6940
Zn 0.3669 0.6729 0.6940
Zn 0.6331 0.3271 0.3060
Zn 0.9789 0.6729 0.3060
Pt 0.2180 0.2180 0.0000
Pt 0.3027 0.5000 0.8027
Pt 0.6973 0.5000 0.1973
Pt 0.7820 0.7820 0.0000
```


[7]
Here is an optimized crystal structure of PrZnPt3 from Alexandria via LeMat-Bulk. Energies are from PBE. Values from VASP.

Summary:
Raw total energy in eV/cell: -52.17
E_form in kJ per mole of atoms: -36.8

Geometry as Quantum ESPRESSO input:
```
&SYSTEM
  ibrav = 0, nat = 10, ntyp = 3
/
ATOMIC_SPECIES
Pr 140.91 Pr.upf
Zn 65.41 Zn.upf
Pt 195.08 Pt.upf
CELL_PARAMETERS angstrom
5.8205 0.0000 0.0000
0.0000 7.6548 0.0000
0.0000 0.0000 4.7327
ATOMIC_POSITIONS crystal
Pr 0.0000 0.0000 0.0000
Pr 0.5000 0.5000 0.0000
Zn 0.0000 0.5000 0.5000
Zn 0.5000 0.0000 0.5000
Pt 0.0000 0.5000 0.0000
Pt 0.2367 0.2425 0.5000
Pt 0.2633 0.7425 0.5000
Pt 0.5000 0.0000 0.0000
Pt 0.7367 0.2575 0.5000
Pt 0.7633 0.7575 0.5000
```


[8]
Here is an optimized crystal structure of Pr5ZnPt2 from Alexandria via LeMat-Bulk. Energies are from PBE. Values from VASP.

Summary:
Raw total energy in eV/cell: -81.24
E_form in kJ per mole of atoms: -40.6

Geometry as Quantum ESPRESSO input:
```
&SYSTEM
  ibrav = 0, nat = 16, ntyp = 3
/
ATOMIC_SPECIES
Pr 140.91 Pr.upf
Zn 65.41 Zn.upf
Pt 195.08 Pt.upf
CELL_PARAMETERS angstrom
2.9657 -6.0447 0.0000
2.9657 6.0447 0.0000
0.0000 0.0000 14.6690
ATOMIC_POSITIONS crystal
Pr 0.0638 0.9362 0.6176
Pr 0.0638 0.9362 0.8824
Pr 0.2689 0.7311 0.2500
Pr 0.3604 0.6396 0.5555
Pr 0.3604 0.6396 0.9445
Pr 0.6396 0.3604 0.0555
Pr 0.6396 0.3604 0.4445
Pr 0.7311 0.2689 0.7500
Pr 0.9362 0.0638 0.1176
Pr 0.9362 0.0638 0.3824
Zn 0.2646 0.7354 0.7500
Zn 0.7354 0.2646 0.2500
Pt 0.1661 0.8339 0.0640
Pt 0.1661 0.8339 0.4360
Pt 0.8339 0.1661 0.5640
Pt 0.8339 0.1661 0.9360
```


[9]
Here is an optimized crystal structure of PrZn6Pt4 from Alexandria via LeMat-Bulk. Energies are from PBE. Values from VASP.

Summary:
Raw total energy in eV/cell: -43.16
E_form in kJ per mole of atoms: -57.6

Geometry as Quantum ESPRESSO input:
```
&SYSTEM
  ibrav = 0, nat = 11, ntyp = 3
/
ATOMIC_SPECIES
Pr 140.91 Pr.upf
Zn 65.41 Zn.upf
Pt 195.08 Pt.upf
CELL_PARAMETERS angstrom
7.3669 0.0000 0.0000
-3.6834 6.3799 0.0000
0.0000 0.0000 4.0541
ATOMIC_POSITIONS crystal
Pr 0.0000 0.0000 0.0000
Zn 0.2023 0.4046 0.5000
Zn 0.2023 0.7977 0.5000
Zn 0.5347 0.0694 0.0000
Zn 0.5347 0.4653 0.0000
Zn 0.5954 0.7977 0.5000
Zn 0.9306 0.4653 0.0000
Pt 0.3333 0.6667 0.0000
Pt 0.3996 0.1998 0.5000
Pt 0.8002 0.1998 0.5000
Pt 0.8002 0.6004 0.5000
```


[10]
Here is an optimized crystal structure of PrZn3Pt from Alexandria via LeMat-Bulk. Energies are from PBE. Values from VASP.

Summary:
Raw total energy in eV/cell: -34.70
E_form in kJ per mole of atoms: -52.3
Distance to the lowest polymorph of the same formula in meV/atom: 10

Geometry as Quantum ESPRESSO input:
```
&SYSTEM
  ibrav = 0, nat = 10, ntyp = 3
/
ATOMIC_SPECIES
Pr 140.91 Pr.upf
Zn 65.41 Zn.upf
Pt 195.08 Pt.upf
CELL_PARAMETERS angstrom
5.7007 0.0000 0.0000
0.0000 5.5681 0.0000
-0.3461 0.0000 5.9832
ATOMIC_POSITIONS crystal
Pr 0.1664 0.2500 0.1706
Pr 0.8336 0.7500 0.8294
Zn 0.3208 0.0024 0.6715
Zn 0.3208 0.4976 0.6715
Zn 0.3735 0.7500 0.0594
Zn 0.6265 0.2500 0.9406
Zn 0.6792 0.5024 0.3285
Zn 0.6792 0.9976 0.3285
Pt 0.0741 0.7500 0.3651
Pt 0.9259 0.2500 0.6349
```


[11]
Here is an optimized crystal structure of Pr3Zn8Pt from Alexandria via LeMat-Bulk. Energies are from PBE. Values from VASP.

Summary:
Raw total energy in eV/cell: -34.45
E_form in kJ per mole of atoms: -31.2

Geometry as Quantum ESPRESSO input:
```
&SYSTEM
  ibrav = 0, nat = 12, ntyp = 3
/
ATOMIC_SPECIES
Pr 140.91 Pr.upf
Zn 65.41 Zn.upf
Pt 195.08 Pt.upf
CELL_PARAMETERS angstrom
2.7408 1.5824 8.9059
-2.7408 1.5824 8.9059
0.0000 -3.1648 8.9059
ATOMIC_POSITIONS crystal
Pr 0.0000 0.0000 0.0000
Pr 0.1277 0.1277 0.1277
Pr 0.6155 0.6155 0.6155
Zn 0.0605 0.0605 0.5583
Zn 0.0605 0.5583 0.0605
Zn 0.0696 0.5622 0.5622
Zn 0.3107 0.3107 0.3107
Zn 0.5583 0.0605 0.0605
Zn 0.5622 0.0696 0.5622
Zn 0.5622 0.5622 0.0696
Zn 0.8134 0.8134 0.8134
Pt 0.4908 0.4908 0.4908
```


[12]
Here is an optimized crystal structure of Pr3Zn4Pt4 from Alexandria via LeMat-Bulk. Energies are from PBE. Values from VASP.

Summary:
Raw total energy in eV/cell: -52.49
E_form in kJ per mole of atoms: -78.0
Distance to the lowest polymorph of the same formula in meV/atom: 38

Geometry as Quantum ESPRESSO input:
```
&SYSTEM
  ibrav = 0, nat = 11, ntyp = 3
/
ATOMIC_SPECIES
Pr 140.91 Pr.upf
Zn 65.41 Zn.upf
Pt 195.08 Pt.upf
CELL_PARAMETERS angstrom
3.9417 0.0000 0.0000
0.0017 4.3656 0.0000
1.9700 2.1421 13.4762
ATOMIC_POSITIONS crystal
Pr 0.0000 0.0000 0.0000
Pr 0.1455 0.6497 0.7087
Pr 0.8545 0.3503 0.2913
Zn 0.2538 0.2512 0.4938
Zn 0.4026 0.8989 0.1948
Zn 0.5974 0.1011 0.8052
Zn 0.7462 0.7488 0.5062
Pt 0.3072 0.8043 0.3834
Pt 0.4508 0.4448 0.1014
Pt 0.5492 0.5552 0.8986
Pt 0.6928 0.1957 0.6166
```